(1)
The following is a GGA-PBE calculation of a relaxed TiNiW3 crystal, from Alexandria via LeMat-Bulk.

## Properties
* crystal system: cubic
* distance to the lowest polymorph of the same formula: 0.000 eV/atom
* DFT formation energy: 1385.1 meV per atom

Lattice parameters (Å, degrees): 4.4867 4.4867 4.4867 90.00 90.00 90.00
Positions (direct):
1 Ni 0.0000 0.0000 0.0000
2 W 0.0000 0.5000 0.0000
3 W 0.0000 0.0000 0.5000
4 W 0.5000 0.0000 0.0000
5 Ti 0.5000 0.5000 0.5000

(2)
The following is a GGA-PBE calculation of a relaxed Rb2CeTlF8 crystal, from Alexandria via LeMat-Bulk.

## Properties
* crystal system: tetragonal
* formation energy (no corrections): -2.920 eV per atom

Lattice parameters (Å, degrees): 6.1910 6.1910 7.1741 115.56 115.56 90.00
Positions (direct):
1 Rb 0.7500 0.2500 0.5000
2 Rb 0.0000 0.0000 0.0000
3 Ce 0.2500 0.7500 0.5000
4 Tl 0.5000 0.5000 0.0000
5 F 0.1650 0.6388 0.7355
6 F 0.5705 0.6388 0.7355
7 F 0.3612 0.4295 0.2645
8 F 0.9033 0.8350 0.2645
9 F 0.5705 0.0967 0.7355
10 F 0.3612 0.8350 0.2645
11 F 0.1650 0.0967 0.7355
12 F 0.9033 0.4295 0.2645

(3)
The following is a GGA-PBE calculation of a relaxed Ni2Sn2Pd crystal, from Alexandria via LeMat-Bulk.

## Properties
* crystal system: tetragonal
* distance to the lowest polymorph of the same formula: 0.045 eV/atom
* DFT formation energy: -178.3 meV per atom

Lattice parameters (Å, degrees): 7.2685 7.2685 3.1114 90.00 90.00 90.00
Positions (direct):
1 Ni 0.1316 0.6316 0.5000
2 Ni 0.6316 0.8684 0.5000
3 Ni 0.8684 0.3684 0.5000
4 Ni 0.3684 0.1316 0.5000
5 Sn 0.3380 0.8380 0.0000
6 Sn 0.8380 0.6620 0.0000
7 Sn 0.6620 0.1620 0.0000
8 Sn 0.1620 0.3380 0.0000
9 Pd 0.0000 0.0000 0.0000
10 Pd 0.5000 0.5000 0.0000

(4)
The following is a GGA-PBE calculation of a relaxed CaBRhO4 crystal, from Alexandria via LeMat-Bulk.

## Properties
* crystal system: orthorhombic
* formation energy (no corrections): -1.744 eV per atom

Lattice parameters (Å, degrees): 5.1371 5.1371 6.4186 90.00 90.00 112.74
Positions (direct):
1 Ca 0.5000 0.5000 0.5000
2 Ca 0.5000 0.5000 0.0000
3 B 0.1267 0.8733 0.2500
4 B 0.8733 0.1267 0.7500
5 Rh 0.8201 0.1799 0.2500
6 Rh 0.1799 0.8201 0.7500
7 O 0.1894 0.2236 0.7500
8 O 0.7764 0.8106 0.7500
9 O 0.7756 0.2244 0.9380
10 O 0.7756 0.2244 0.5620
11 O 0.2244 0.7756 0.0620
12 O 0.2244 0.7756 0.4380
13 O 0.8106 0.7764 0.2500
14 O 0.2236 0.1894 0.2500

It is found that the uncorrected energy values, taken in the order of the records, are -45.61, -60.25, -51.31, -96.14 eV/cell.
It is found that the volume values, taken in the order of the records, are 90.3, 217.8, 82.2, 78.1 Å³/f.u..